Entry 1:
Density functional theory data (GGA-PBEsol) for an optimized crystal structure of Ba2ZnFe.

Its density is 5.1 g cm⁻³. Its energy of formation is 0.64 eV per atom. For the total moment, the calculation gives 4.0 μB per cell. The value obtained for the total energy is -3.0735 eV per atom.

Unit cell a=8.0215 b=3.6941 c=8.8370 alpha=90.00 beta=99.94 gamma=90.00
Last column: nearest neighbours and their distance in Å.
Space group C2/m (No. 12)
Symmetry-distinct sites (fractional):
Ba (0.2497, 0.0000, 0.2298)  3 Fe 3.09-3.19, 3 Zn 3.37-3.39
Zn (0.0000, 0.0000, 0.5000)  6 Ba 3.37-3.39, 2 Zn 3.69
Fe (0.0000, 0.5000, 0.0000)  6 Ba 3.09-3.19

***

Entry 2:
Density functional theory data (GGA-PBEsol) for an optimized crystal structure of BaZn3Fe.

Its density is 3.5 g cm⁻³. Its energy of formation is 1.73 eV per atom. For the total moment, the calculation gives 3.2 μB per cell. The value obtained for the total energy is -1.4377 eV per atom.

Unit cell a=5.7187 b=5.7187 c=5.7187 alpha=90.00 beta=90.00 gamma=90.00
Last column: nearest neighbours and their distance in Å.
Space group Pm-3m (No. 221)
Symmetry-distinct sites (fractional):
Ba (0.0000, 0.0000, 0.0000)  6 Zn 2.86
Zn (0.0000, 0.0000, 0.5000)  2 Ba 2.86
Fe (0.5000, 0.5000, 0.5000)  12 Zn 4.04

***

Entry 3:
Density functional theory data (GGA-PBEsol) for an optimized crystal structure of BaZnFe.

Its density is 6.4 g cm⁻³. Its energy of formation is 0.44 eV per atom. For the total moment, the calculation gives 4.5 μB per cell. The value obtained for the total energy is -3.7942 eV per atom.

Unit cell a=3.4521 b=3.4521 c=11.2659 alpha=90.00 beta=90.00 gamma=90.00
Last column: nearest neighbours and their distance in Å.
Space group I4mm (No. 107)
Symmetry-distinct sites (fractional):
Ba (0.0000, 0.0000, 0.0000)  1 Fe 3.11, 1 Zn 3.12, 4 Ba 3.45
Zn (0.0000, 0.0000, 0.2771)  4 Fe 2.51
Fe (0.0000, 0.0000, 0.7241)  4 Zn 2.51

***

no.,Fermi-level density of states (states/eV per cell)
1,12.05
2,8.80
3,8.12